# PrNdAsO, relaxed, DFT PBE
# **Crystal system**: tetragonal
# **Calculated total energy**: -6.591 eV/atom
# **Offset from the most stable computed form**: 91 meV per atom
data_PrNdAsO
_space_group_name_H-M_alt 'P 4/n m m'
_space_group_IT_number 129
_cell_length_a 4.419
_cell_length_b 4.419
_cell_length_c 9.423
_cell_angle_alpha 90.00
_cell_angle_beta 90.00
_cell_angle_gamma 90.00
loop_
_space_group_symop_operation_xyz
'x,y,z'
'-x,-y,-z'
'-y+1/2,x,z'
'y+1/2,-x,-z'
'-x+1/2,-y+1/2,z'
'x+1/2,y+1/2,-z'
'y,-x+1/2,z'
'-y,x+1/2,-z'
'x+1/2,-y,-z'
'-x+1/2,y,z'
'-y,-x,-z'
'y,x,z'
'-x,y+1/2,-z'
'x,-y+1/2,z'
'y+1/2,x+1/2,-z'
'-y+1/2,-x+1/2,z'
loop_
_atom_site_label
_atom_site_type_symbol
_atom_site_fract_x
_atom_site_fract_y
_atom_site_fract_z
Pr1 Pr 0.250 0.750 0.000
Nd1 Nd 0.250 0.250 0.396
As1 As 0.250 0.250 0.787
O1 O 0.250 0.750 0.500